# 1
DFT (GGA-PBE) results for a relaxed Nd2Er7 crystal.

Lattice parameters (Å, degrees): 6.141 6.141 8.673 90.00 90.00 120.00
Element x y z (fractional)
Nd (0.333, 0.667, 0.000)
Nd (0.667, 0.333, 0.000)
Er (0.000, 0.000, 0.000)
Er (0.668, 0.000, 0.337)
Er (0.000, 0.668, 0.337)
Er (0.332, 0.332, 0.337)
Er (0.000, 0.332, 0.663)
Er (0.332, 0.000, 0.663)
Er (0.668, 0.668, 0.663)

Results
The value obtained for the total energy is -4.586 eV per atom.



# 2
DFT (GGA-PBE) results for a relaxed NdEr3 crystal.

Lattice parameters (Å, degrees): 3.632 6.247 6.711 117.74 105.70 90.00
Element x y z (fractional)
Nd (0.000, 0.997, 0.000)
Er (0.248, 0.582, 0.496)
Er (0.500, 0.501, 0.000)
Er (0.752, 0.087, 0.504)

Results
As for the energy above the most stable polymorph in this dataset: 0.02 eV per formula unit.



# 3
DFT (GGA-PBE) results for a relaxed NdEr crystal.

Lattice parameters (Å, degrees): 3.619 3.619 11.808 90.00 98.81 120.02
Element x y z (fractional)
Nd (0.579, 0.290, 0.869)
Nd (0.421, 0.710, 0.131)
Er (0.746, 0.873, 0.619)
Er (0.254, 0.127, 0.381)

Results
As for the energy above the most stable polymorph in this dataset: 0.00 eV per formula unit.



# 4
DFT (GGA-PBE) results for a relaxed Nd5Er6 crystal.

Lattice parameters (Å, degrees): 9.057 8.000 6.430 80.17 72.44 55.53
Element x y z (fractional)
Nd (0.500, 0.000, 0.500)
Nd (0.369, 0.263, 0.000)
Nd (0.631, 0.737, 0.000)
Nd (0.238, 0.523, 0.500)
Nd (0.762, 0.477, 0.500)
Er (0.839, 0.000, 0.694)
Er (0.161, 0.000, 0.306)
Er (0.302, 0.745, 0.825)
Er (0.952, 0.745, 0.175)
Er (0.698, 0.255, 0.175)
Er (0.048, 0.255, 0.825)

Results
As for the energy above the most stable polymorph in this dataset: 0.24 eV per formula unit.